Entry 1:
Compound: KSr2BF
Source: Alexandria
Functional: meta-GGA SCAN
Structure: PBEsol geometry Values from VASP.

Formation energy (no corrections) (eV/atom): -0.180
D(E_F) (states/eV/f.u.): 2.1

Structure (Quantum ESPRESSO input):
```
&SYSTEM
  ibrav = 0, nat = 5, ntyp = 4
/
ATOMIC_SPECIES
F 19.00 F.upf
Sr 87.62 Sr.upf
K 39.10 K.upf
B 10.81 B.upf
CELL_PARAMETERS angstrom
5.385 0.000 0.000
0.000 5.385 0.000
0.000 0.000 6.051
ATOMIC_POSITIONS crystal
F 0.500 0.500 0.500
Sr 0.000 0.500 0.000
K 0.000 0.000 0.500
B 0.000 0.000 0.000
Sr 0.500 0.000 0.000
```

=====

Entry 2:
Compound: LaBF2
Source: Alexandria
Functional: meta-GGA SCAN
Structure: PBEsol geometry Values from VASP.

Formation energy (no corrections) (eV/atom): -1.740
D(E_F) (states/eV/f.u.): 0.1

Structure (Quantum ESPRESSO input):
```
&SYSTEM
  ibrav = 0, nat = 4, ntyp = 3
/
ATOMIC_SPECIES
F 19.00 F.upf
La 138.91 La.upf
B 10.81 B.upf
CELL_PARAMETERS angstrom
-0.974 2.303 3.179
-2.663 -1.345 2.731
1.639 -1.247 3.978
ATOMIC_POSITIONS crystal
F 0.217 0.217 0.349
La 0.000 0.000 0.000
F 0.783 0.783 0.651
B 0.500 0.500 0.500
```

=====

Entry 3:
Compound: LiBF2
Source: Alexandria
Functional: meta-GGA SCAN
Structure: PBEsol geometry Values from VASP.

Formation energy (no corrections) (eV/atom): -0.772
D(E_F) (states/eV/f.u.): 0.0

Structure (Quantum ESPRESSO input):
```
&SYSTEM
  ibrav = 0, nat = 4, ntyp = 3
/
ATOMIC_SPECIES
F 19.00 F.upf
Li 6.94 Li.upf
B 10.81 B.upf
CELL_PARAMETERS angstrom
3.375 0.000 0.000
1.688 2.923 0.000
1.688 0.974 5.846
ATOMIC_POSITIONS crystal
F 0.903 0.903 0.290
Li 0.000 0.000 0.000
B 0.500 0.500 0.500
F 0.097 0.097 0.710
```

=====

Entry 4:
Compound: Li2B6O9F2
Source: Alexandria
Functional: meta-GGA SCAN
Structure: PBEsol geometry Values from VASP.

Formation energy (no corrections) (eV/atom): -2.707
D(E_F) (states/eV/f.u.): 0.0

Structure (Quantum ESPRESSO input):
```
&SYSTEM
  ibrav = 0, nat = 38, ntyp = 4
/
ATOMIC_SPECIES
F 19.00 F.upf
Li 6.94 Li.upf
O 16.00 O.upf
B 10.81 B.upf
CELL_PARAMETERS angstrom
4.818 0.000 0.002
2.409 8.130 0.001
0.379 0.000 10.056
ATOMIC_POSITIONS crystal
F 0.980 0.281 0.033
Li 0.052 0.492 0.051
O 0.589 0.538 0.745
B 0.247 0.296 0.722
Li 0.844 0.073 0.380
O 0.950 0.068 0.183
B 0.543 0.704 0.222
B 0.794 0.190 0.087
O 0.547 0.306 0.146
F 0.814 0.891 0.480
O 0.661 0.671 0.096
O 0.853 0.694 0.646
F 0.260 0.719 0.533
O 0.243 0.886 0.015
B 0.393 0.514 0.841
B 0.702 0.673 0.756
O 0.126 0.462 0.245
B 0.168 0.932 0.145
O 0.323 0.610 0.951
O 0.651 0.605 0.328
B 0.375 0.327 0.256
O 0.307 0.836 0.248
O 0.657 0.764 0.870
O 0.129 0.114 0.515
B 0.100 0.068 0.645
O 0.142 0.164 0.748
Li 0.544 0.508 0.551
Li 0.917 0.927 0.880
O 0.257 0.395 0.828
B 0.984 0.810 0.587
O 0.332 0.329 0.596
B 0.473 0.735 0.983
F 0.706 0.109 0.980
O 0.933 0.390 0.451
O 0.019 0.932 0.683
O 0.421 0.236 0.370
B 0.208 0.265 0.483
B 0.907 0.486 0.341
```

=====

Entry 5:
Compound: LiB6O9F
Source: Alexandria
Functional: meta-GGA SCAN
Structure: PBEsol geometry Values from VASP.

Formation energy (no corrections) (eV/atom): -2.652
D(E_F) (states/eV/f.u.): 0.0

Structure (Quantum ESPRESSO input):
```
&SYSTEM
  ibrav = 0, nat = 68, ntyp = 4
/
ATOMIC_SPECIES
B 10.81 B.upf
O 16.00 O.upf
F 19.00 F.upf
Li 6.94 Li.upf
CELL_PARAMETERS angstrom
-1.911 -7.135 1.944
7.786 -1.158 3.400
-3.648 3.586 9.575
ATOMIC_POSITIONS crystal
B 0.137 0.106 0.815
O 0.640 0.006 0.496
O 0.388 0.499 0.979
O 0.891 0.244 0.079
B 0.373 0.103 0.653
B 0.065 0.352 0.484
O 0.934 0.547 0.663
O 0.434 0.953 0.663
O 0.140 0.494 0.496
B 0.873 0.397 0.653
O 0.566 0.047 0.163
O 0.939 0.297 0.566
B 0.127 0.603 0.153
O 0.935 0.793 0.398
O 0.897 0.748 0.887
B 0.601 0.911 0.603
O 0.249 0.664 0.231
O 0.109 0.756 0.579
B 0.627 0.897 0.153
B 0.544 0.401 0.393
F 0.262 0.071 0.195
B 0.399 0.089 0.103
O 0.084 0.950 0.811
B 0.044 0.099 0.393
Li 0.264 0.802 0.727
O 0.397 0.752 0.887
O 0.565 0.293 0.898
B 0.863 0.894 0.315
O 0.888 0.001 0.979
B 0.052 0.846 0.486
O 0.112 0.999 0.479
F 0.762 0.429 0.195
B 0.899 0.411 0.103
B 0.935 0.648 0.984
B 0.448 0.346 0.986
B 0.363 0.606 0.315
O 0.435 0.707 0.398
Li 0.736 0.198 0.227
B 0.637 0.394 0.815
O 0.603 0.248 0.387
O 0.561 0.797 0.066
O 0.612 0.501 0.479
B 0.948 0.154 0.986
O 0.360 0.994 0.996
O 0.584 0.550 0.811
Li 0.764 0.698 0.727
O 0.066 0.453 0.163
O 0.439 0.203 0.566
O 0.916 0.050 0.311
O 0.391 0.256 0.079
F 0.738 0.929 0.695
B 0.101 0.589 0.603
O 0.065 0.207 0.898
B 0.552 0.654 0.486
O 0.609 0.744 0.579
O 0.251 0.164 0.731
O 0.749 0.836 0.231
B 0.435 0.852 0.984
Li 0.236 0.302 0.227
B 0.956 0.901 0.893
O 0.103 0.252 0.387
O 0.860 0.506 0.996
O 0.061 0.703 0.066
B 0.565 0.148 0.484
F 0.238 0.571 0.695
O 0.751 0.336 0.731
O 0.416 0.450 0.311
B 0.456 0.599 0.893
```

=====

Entry 6:
Compound: Li2B3O4F3
Source: Alexandria
Functional: meta-GGA SCAN
Structure: PBEsol geometry Values from VASP.

Formation energy (no corrections) (eV/atom): -2.840
D(E_F) (states/eV/f.u.): 0.0

Structure (Quantum ESPRESSO input):
```
&SYSTEM
  ibrav = 0, nat = 48, ntyp = 4
/
ATOMIC_SPECIES
F 19.00 F.upf
Li 6.94 Li.upf
O 16.00 O.upf
B 10.81 B.upf
CELL_PARAMETERS angstrom
4.866 0.000 0.000
0.000 8.752 0.000
0.000 0.000 12.309
ATOMIC_POSITIONS crystal
F 0.626 0.547 0.504
Li 0.086 0.354 0.897
F 0.874 0.453 0.004
O 0.544 0.827 0.181
Li 0.172 0.292 0.430
F 0.435 0.416 0.946
F 0.565 0.916 0.554
B 0.911 0.819 0.840
B 0.481 0.421 0.231
O 0.562 0.074 0.251
O 0.455 0.866 0.371
O 0.938 0.926 0.751
O 0.044 0.673 0.819
B 0.407 0.969 0.462
B 0.019 0.579 0.731
B 0.981 0.079 0.769
O 0.955 0.634 0.629
O 0.438 0.574 0.249
O 0.545 0.366 0.129
O 0.028 0.874 0.942
Li 0.828 0.792 0.070
B 0.093 0.031 0.962
B 0.589 0.181 0.340
F 0.619 0.790 0.854
O 0.456 0.327 0.319
O 0.062 0.426 0.749
O 0.045 0.134 0.871
O 0.972 0.374 0.558
F 0.935 0.084 0.054
O 0.528 0.626 0.058
O 0.472 0.126 0.442
Li 0.586 0.146 0.103
F 0.126 0.953 0.496
F 0.381 0.290 0.646
F 0.374 0.047 0.996
F 0.065 0.584 0.446
F 0.881 0.210 0.354
Li 0.328 0.708 0.930
O 0.956 0.173 0.681
Li 0.672 0.208 0.570
B 0.519 0.921 0.269
Li 0.414 0.646 0.397
B 0.907 0.531 0.538
F 0.119 0.710 0.146
B 0.411 0.681 0.160
Li 0.914 0.854 0.603
B 0.089 0.319 0.660
B 0.593 0.469 0.038
```

=====

Entry 7:
Compound: RbLi6B2O6F
Source: Alexandria
Functional: meta-GGA SCAN
Structure: PBEsol geometry Values from VASP.

Formation energy (no corrections) (eV/atom): -2.502
D(E_F) (states/eV/f.u.): 0.0

Structure (Quantum ESPRESSO input):
```
&SYSTEM
  ibrav = 0, nat = 64, ntyp = 5
/
ATOMIC_SPECIES
O 16.00 O.upf
B 10.81 B.upf
Li 6.94 Li.upf
F 19.00 F.upf
Rb 85.47 Rb.upf
CELL_PARAMETERS angstrom
-0.606 -1.266 4.893
6.144 -5.726 -0.721
10.731 10.988 4.171
ATOMIC_POSITIONS crystal
O 0.049 0.290 0.078
O 0.049 0.290 0.422
O 0.478 0.072 0.394
B 0.905 0.430 0.413
Li 0.137 0.073 0.058
Li 0.705 0.199 0.037
B 0.595 0.930 0.413
O 0.022 0.572 0.106
Li 0.616 0.713 0.861
Li 0.116 0.787 0.139
Li 0.863 0.927 0.942
Li 0.295 0.801 0.537
F 0.579 0.679 0.750
O 0.549 0.210 0.922
Rb 0.881 0.125 0.250
Li 0.363 0.573 0.058
Li 0.384 0.287 0.361
O 0.365 0.578 0.571
O 0.865 0.922 0.429
Li 0.384 0.287 0.139
Rb 0.119 0.875 0.750
Li 0.295 0.801 0.963
Li 0.884 0.213 0.639
B 0.905 0.430 0.087
Li 0.205 0.301 0.537
B 0.095 0.570 0.587
O 0.365 0.578 0.929
O 0.522 0.928 0.606
Li 0.205 0.301 0.963
Li 0.637 0.427 0.558
Li 0.637 0.427 0.942
F 0.421 0.321 0.250
Rb 0.381 0.375 0.750
O 0.865 0.922 0.071
Li 0.705 0.199 0.463
B 0.095 0.570 0.913
Li 0.116 0.787 0.361
O 0.135 0.078 0.571
O 0.522 0.928 0.894
O 0.549 0.210 0.578
F 0.921 0.179 0.750
O 0.135 0.078 0.929
Li 0.795 0.699 0.037
B 0.405 0.070 0.587
B 0.595 0.930 0.087
O 0.635 0.422 0.429
Rb 0.619 0.625 0.250
Li 0.616 0.713 0.639
O 0.978 0.428 0.894
O 0.022 0.572 0.394
Li 0.884 0.213 0.861
O 0.451 0.790 0.422
Li 0.363 0.573 0.442
O 0.451 0.790 0.078
Li 0.863 0.927 0.558
Li 0.137 0.073 0.442
Li 0.795 0.699 0.463
B 0.405 0.070 0.913
O 0.951 0.710 0.578
O 0.478 0.072 0.106
O 0.978 0.428 0.606
F 0.079 0.821 0.250
O 0.951 0.710 0.922
O 0.635 0.422 0.071
```

=====

Entry 8:
Compound: MgBF2
Source: Alexandria
Functional: meta-GGA SCAN
Structure: PBEsol geometry Values from VASP.

Formation energy (no corrections) (eV/atom): -1.240
D(E_F) (states/eV/f.u.): 0.3

Structure (Quantum ESPRESSO input):
```
&SYSTEM
  ibrav = 0, nat = 8, ntyp = 3
/
ATOMIC_SPECIES
F 19.00 F.upf
B 10.81 B.upf
Mg 24.30 Mg.upf
CELL_PARAMETERS angstrom
5.572 0.000 0.000
-2.786 5.203 -0.049
0.000 3.028 4.678
ATOMIC_POSITIONS crystal
F 0.775 0.750 0.375
B 0.500 0.000 0.500
B 0.250 0.500 0.250
F 0.975 0.750 0.875
Mg 0.750 0.500 0.750
F 0.875 0.250 0.775
Mg 0.000 0.000 0.000
F 0.375 0.250 0.975
```